Record 1
Sr2LaSc | PBE | optimized geometry

ΔE_f	0.29	eV/atom
total magnetic moment	0.9	μB/f.u.
volume	39.5	Å³/atom

Unit cell a=12.8162 b=12.8162 c=12.8162 alpha=17.07 beta=17.07 gamma=17.07
With the nearest neighbours (Å) after each atom.
Positions (direct):
Sr (0.0053, 0.0053, 0.0053)  3 Sc 3.68, 6 Sr 3.80, 3 La 4.01
Sr (0.4947, 0.4947, 0.4947)  3 Sc 3.68, 6 Sr 3.80, 3 La 4.01
La (0.2500, 0.2500, 0.2500)  6 La 3.80, 6 Sr 4.01
Sc (0.7500, 0.7500, 0.7500)  6 Sr 3.68, 6 Sc 3.80

Record 2
KCrSe2 | PBE | optimized geometry

formation energy without anion corrections	-2.8	eV/f.u.
total magnetic moment	0.7	μB/f.u.
volume	34.2	Å³/atom

Unit cell a=10.4044 b=7.8972 c=3.8417 alpha=90.00 beta=90.00 gamma=60.04
With the nearest neighbours (Å) after each atom.
Positions (direct):
Se (0.9070, 0.8742, 0.2397)  3 Cr 2.35-2.57
Se (0.2097, 0.9323, 0.7397)  3 Cr 2.39-2.56
Cr (0.1569, 0.7965, 0.2398)  4 Se 2.25-2.39
K (0.0481, 0.4513, 0.7396)  7 Se 3.35-3.57
Cr (0.9277, 0.0752, 0.7398)  5 Se 2.56-2.57
Se (0.8468, 0.3234, 0.2397)  2 Cr 2.57
Se (0.3065, 0.4702, 0.2396)  1 Cr 2.25
K (0.5485, 0.5062, 0.7396)  5 Se 3.29-3.45

Record 3
La12PrHo7 | PBE | optimized geometry

ΔE_f	0.13	eV/atom
total magnetic moment	0.0	μB/f.u.
volume	35.0	Å³/atom

Unit cell a=9.5580 b=9.5580 c=9.5580 alpha=108.30 beta=108.30 gamma=108.30
With the nearest neighbours (Å) after each atom.
Positions (direct):
La (0.3199, 0.6125, 0.7939)  2 La 3.28-3.54, 3 Ho 3.35-3.65
La (0.6125, 0.7939, 0.3199)  2 La 3.28-3.54, 3 Ho 3.35-3.65
La (0.5812, 0.9264, 0.6942)  2 La 3.28-3.54, 3 Ho 3.45-3.61
Ho (0.1069, 0.6858, 0.0031)  6 La 3.35-3.73, 1 Pr 3.47, 3 Ho 3.47-3.67
La (0.7939, 0.3199, 0.6125)  2 La 3.28-3.54, 3 Ho 3.35-3.65
La (0.4188, 0.0736, 0.3058)  2 La 3.28-3.54, 3 Ho 3.45-3.61
Ho (0.6858, 0.0031, 0.1069)  6 La 3.35-3.73, 1 Pr 3.47, 3 Ho 3.47-3.67
La (0.2061, 0.6801, 0.3875)  2 La 3.28-3.54, 3 Ho 3.35-3.65
La (0.9264, 0.6942, 0.5812)  2 La 3.28-3.54, 3 Ho 3.45-3.61
La (0.6801, 0.3875, 0.2061)  2 La 3.28-3.54, 3 Ho 3.35-3.65
Ho (0.9969, 0.8931, 0.3142)  6 La 3.35-3.73, 1 Pr 3.47, 3 Ho 3.47-3.67
Ho (0.5000, 0.5000, 0.5000)  12 La 3.61-3.78
Ho (0.0031, 0.1069, 0.6858)  6 La 3.35-3.73, 1 Pr 3.47, 3 Ho 3.47-3.67
Ho (0.8931, 0.3142, 0.9969)  6 La 3.35-3.73, 1 Pr 3.47, 3 Ho 3.47-3.67
La (0.3875, 0.2061, 0.6801)  2 La 3.28-3.54, 3 Ho 3.35-3.65
Pr (0.0000, 0.0000, 0.0000)  6 Ho 3.47, 6 La 3.83
Ho (0.3142, 0.9969, 0.8931)  6 La 3.35-3.73, 1 Pr 3.47, 3 Ho 3.47-3.67
La (0.6942, 0.5812, 0.9264)  2 La 3.28-3.54, 3 Ho 3.45-3.61
La (0.3058, 0.4188, 0.0736)  2 La 3.28-3.54, 3 Ho 3.45-3.61
La (0.0736, 0.3058, 0.4188)  2 La 3.28-3.54, 3 Ho 3.45-3.61

Record 4
Dy2CoNi3P4 | PBE | optimized geometry

ΔE_f	-0.98	eV/atom
total magnetic moment	0.8	μB/f.u.
volume	14.3	Å³/atom

Unit cell a=3.9563 b=3.9563 c=9.1245 alpha=90.00 beta=90.00 gamma=90.00
With the nearest neighbours (Å) after each atom.
Positions (direct):
P (0.0000, 0.5000, 0.3687)  3 Ni 2.27-2.31, 2 Co 2.31
Ni (0.5000, 0.0000, 0.8805)  5 P 2.26-2.27
Ni (0.0000, 0.5000, 0.1195)  5 P 2.26-2.27
Ni (0.0000, 0.0000, 0.5000)  4 P 2.31
P (0.5000, 0.0000, 0.6313)  3 Ni 2.27-2.31, 2 Co 2.31
P (0.0000, 0.0000, 0.0000)  4 Ni 2.26
Dy (0.5000, 0.0000, 0.2473)  8 P 3.00-3.01, 7 Ni 3.03-3.35, 2 Co 3.04
Co (0.5000, 0.5000, 0.5000)  4 P 2.31
Dy (0.0000, 0.5000, 0.7527)  8 P 3.00-3.01, 7 Ni 3.03-3.35, 2 Co 3.04
P (0.5000, 0.5000, 0.0000)  4 Ni 2.26

Record 5
Mg2CdTe | PBE | optimized geometry

formation energy without anion corrections	-1.0	eV/f.u.
total magnetic moment	0.0	μB/f.u.
volume	26.1	Å³/atom

Unit cell a=4.6132 b=4.6132 c=6.4983 alpha=74.83 beta=74.83 gamma=52.02
With the nearest neighbours (Å) after each atom.
Positions (direct):
Cd (0.2500, 0.2500, 0.2500)  6 Mg 2.87-2.99
Mg (0.0034, 0.0034, 0.0177)  3 Cd 2.87-2.99, 3 Te 3.04-3.09
Mg (0.4966, 0.4966, 0.4823)  3 Cd 2.87-2.99, 3 Te 3.04-3.09
Te (0.7500, 0.7500, 0.7500)  6 Mg 3.04-3.09

Record 6
Ce2Ni2Au | PBE | optimized geometry

ΔE_f	-0.51	eV/atom
total magnetic moment	0.0	μB/f.u.
volume	19.6	Å³/atom

Unit cell a=3.6507 b=7.3340 c=7.3340 alpha=90.00 beta=90.00 gamma=90.00
With the nearest neighbours (Å) after each atom.
Positions (direct):
Ni (0.0000, 0.1237, 0.3763)  1 Ni 2.57, 2 Ce 2.76
Au (0.0000, 0.0000, 0.0000)  4 Ni 2.90
Ce (0.5000, 0.1761, 0.6761)  6 Ni 2.76-2.88
Ce (0.5000, 0.3239, 0.1761)  6 Ni 2.76-2.88
Ce (0.5000, 0.6761, 0.8239)  6 Ni 2.76-2.88
Ce (0.5000, 0.8239, 0.3239)  6 Ni 2.76-2.88
Ni (0.0000, 0.3763, 0.8763)  1 Ni 2.57, 2 Ce 2.76
Ni (0.0000, 0.6237, 0.1237)  1 Ni 2.57, 2 Ce 2.76
Au (0.0000, 0.5000, 0.5000)  4 Ni 2.90
Ni (0.0000, 0.8763, 0.6237)  1 Ni 2.57, 2 Ce 2.76

Record 7
Mn2MoRh | PBE | optimized geometry

ΔE_f	0.04	eV/atom
total magnetic moment	0.4	μB/f.u.
volume	13.3	Å³/atom

Unit cell a=4.0894 b=2.6513 c=5.0676 alpha=74.86 beta=90.00 gamma=90.00
With the nearest neighbours (Å) after each atom.
Positions (direct):
Mn (0.0000, 0.1815, 0.0084)  2 Mn 2.32, 1 Mo 2.56
Rh (0.5000, 0.8009, 0.7724)  7 Mn 2.61-2.70, 2 Rh 2.65, 4 Mo 2.81
Mo (0.0000, 0.4462, 0.4861)  7 Mn 2.56-2.73, 2 Mo 2.65, 4 Rh 2.81
Mn (0.5000, 0.0714, 0.2331)  2 Mn 2.32

Record 8
ErPb3 | PBE | optimized geometry

ΔE_f	-0.24	eV/atom
total magnetic moment	0.0	μB/f.u.
volume	28.9	Å³/atom

Unit cell a=4.8636 b=4.8687 c=4.8746 alpha=90.00 beta=90.00 gamma=90.00
With the nearest neighbours (Å) after each atom.
Positions (direct):
Pb (0.5000, 0.5000, 0.0833)  8 Pb 3.44, 4 Er 3.44
Pb (0.0000, 0.0000, 0.0833)  8 Pb 3.44, 4 Er 3.44
Er (0.5000, 0.0000, 0.5833)  12 Pb 3.44
Pb (0.0000, 0.5000, 0.5833)  4 Er 3.44, 8 Pb 3.44

Record 9
CaTbZr | PBE | optimized geometry

ΔE_f	0.23	eV/atom
total magnetic moment	0.0	μB/f.u.
volume	30.0	Å³/atom

Unit cell a=4.8762 b=4.8922 c=9.3116 alpha=121.52 beta=105.16 gamma=90.02
With the nearest neighbours (Å) after each atom.
Positions (direct):
Ca (0.0933, 0.4372, 0.6867)  4 Zr 3.39-3.41, 4 Tb 3.45-3.46, 2 Ca 3.72-3.74
Tb (0.3998, 0.0488, 0.2995)  4 Zr 3.32-3.35, 4 Ca 3.45-3.46
Zr (0.7497, 0.7547, 0.0009)  4 Tb 3.32-3.35, 4 Ca 3.39-3.41, 4 Zr 3.42-3.49
Ca (0.9067, 0.5628, 0.3133)  4 Zr 3.39-3.41, 4 Tb 3.45-3.46, 2 Ca 3.72-3.74
Tb (0.6002, 0.9512, 0.7005)  4 Zr 3.32-3.35, 4 Ca 3.45-3.46
Zr (0.2503, 0.2453, 0.9991)  4 Tb 3.32-3.35, 4 Ca 3.39-3.41, 4 Zr 3.42-3.49

Record 10
TlSnSbMo2 | PBE | optimized geometry

formation energy without anion corrections	9.4	eV/f.u.
total magnetic moment	6.7	μB/f.u.
volume	30.8	Å³/atom

Unit cell a=5.3226 b=5.4425 c=5.3226 alpha=90.00 beta=90.00 gamma=90.00
With the nearest neighbours (Å) after each atom.
Positions (direct):
Mo (0.0000, 0.0000, 0.5000)  2 Tl 2.66
Sb (0.5000, 0.5000, 0.5000)  4 Sn 3.76, 8 Mo 3.81
Mo (0.5000, 0.0000, 0.0000)  2 Tl 2.66
Sn (0.0000, 0.5000, 0.0000)  2 Tl 2.72
Tl (0.0000, 0.0000, 0.0000)  4 Mo 2.66, 2 Sn 2.72

Record 11
AcBeAu4 | PBE | optimized geometry

ΔE_f	-0.49	eV/atom
total magnetic moment	0.0	μB/f.u.
volume	20.9	Å³/atom

Unit cell a=6.0573 b=6.0573 c=7.9385 alpha=73.76 beta=73.76 gamma=66.10
With the nearest neighbours (Å) after each atom.
Positions (direct):
Au (0.8306, 0.3714, 0.5899)  1 Be 2.36
Au (0.7256, 0.2744, 0.0000)  2 Be 2.43
Au (0.1694, 0.6286, 0.4101)  1 Be 2.36
Be (0.4475, 0.4475, 0.7887)  5 Au 2.27-2.43
Au (0.3714, 0.8306, 0.5899)  1 Be 2.36
Au (0.7742, 0.7742, 0.2188)  1 Be 2.27
Au (0.2258, 0.2258, 0.7812)  1 Be 2.27
Be (0.5525, 0.5525, 0.2113)  5 Au 2.27-2.43
Ac (0.1870, 0.1870, 0.2101)  13 Au 3.29-3.43, 3 Be 3.51-3.57
Ac (0.8130, 0.8130, 0.7899)  13 Au 3.29-3.43, 3 Be 3.51-3.57
Au (0.6286, 0.1694, 0.4101)  1 Be 2.36
Au (0.2744, 0.7256, 0.0000)  2 Be 2.43